Entry 1:
Here is InPt2Se after structural relaxation from the Alexandria database. Energies are from PBE-GGA. Values from VASP.

Symmetry: F-43m
Total magnetic moment: 0.00 μB per atom
Formation energy (no corrections): 0.12 eV/atom

Structure (Quantum ESPRESSO input):
```
&SYSTEM
  ibrav = 0, nat = 16, ntyp = 3
/
ATOMIC_SPECIES
In 114.82 In.upf
Pt 195.08 Pt.upf
Se 78.96 Se.upf
CELL_PARAMETERS angstrom
6.6353 0.0000 0.0000
0.0000 6.6353 0.0000
0.0000 0.0000 6.6353
ATOMIC_POSITIONS angstrom
In 0.0000 0.0000 0.0000
In 0.0000 3.3176 3.3176
In 3.3176 0.0000 3.3176
In 3.3176 3.3176 0.0000
Pt 0.0000 0.0000 3.3176
Pt 0.0000 3.3176 0.0000
Pt 1.6588 1.6588 4.9764
Pt 1.6588 4.9764 1.6588
Pt 3.3176 0.0000 0.0000
Pt 3.3176 3.3176 3.3176
Pt 4.9764 1.6588 1.6588
Pt 4.9764 4.9764 4.9764
Se 1.6588 1.6588 1.6588
Se 1.6588 4.9764 4.9764
Se 4.9764 1.6588 4.9764
Se 4.9764 4.9764 1.6588
```

Entry 2:
Here is InPtSe2 after structural relaxation from the Alexandria database. Energies are from PBE-GGA. Values from VASP.

Symmetry: Cmmm
Total magnetic moment: 0.00 μB per atom
Formation energy (no corrections): -0.28 eV/atom

Structure (Quantum ESPRESSO input):
```
&SYSTEM
  ibrav = 0, nat = 8, ntyp = 3
/
ATOMIC_SPECIES
In 114.82 In.upf
Pt 195.08 Pt.upf
Se 78.96 Se.upf
CELL_PARAMETERS angstrom
5.7164 0.0000 0.0000
0.0000 8.4661 0.0000
0.0000 0.0000 3.7880
ATOMIC_POSITIONS angstrom
In 0.0000 0.0000 0.0000
In 2.8582 4.2330 0.0000
Pt 0.0000 4.2330 0.0000
Pt 2.8582 0.0000 0.0000
Se 0.0000 2.5721 1.8940
Se 0.0000 5.8940 1.8940
Se 2.8582 1.6610 1.8940
Se 2.8582 6.8051 1.8940
```

| no. | D(E_F) (states/eV per cell) |
| --- | --- |
| 1 | 16.468 |
| 2 | 4.041 |